First-principles (PBE with a Hubbard U) data for a relaxed NdWBrO4 crystal, as listed in Alexandria. Values from VASP.

```
&SYSTEM
  ibrav = 0, nat = 14, ntyp = 4
/
ATOMIC_SPECIES
O 16.00 O.upf
Br 79.90 Br.upf
Nd 144.24 Nd.upf
W 183.84 W.upf
ATOMIC_POSITIONS angstrom
O 3.771 0.948 1.002
O 6.818 6.558 5.720
O 8.446 4.261 5.720
O 3.565 2.527 3.558
O 2.143 3.245 1.002
O 5.110 3.621 1.302
O 7.024 4.979 3.164
O 5.480 3.884 5.420
Br 0.536 0.380 1.673
Br 10.053 7.125 5.050
Nd 7.023 4.977 0.755
Nd 3.567 2.528 5.967
W 6.903 4.892 4.956
W 3.687 2.613 1.766
CELL_PARAMETERS angstrom
6.606 0.058 -0.052
2.243 6.214 -0.052
1.741 1.234 6.825
```

Computed properties:
Calculated density = 5.60 g/cm³
Crystal system = monoclinic
Total magnetic moment = 0.000 μB per atom
DFT total energy = -7.1453 eV per atom